(1)
# Ba2Mn2O5 (PBE with a Hubbard U, optimized geometry)
# V   565.4 Å³ per cell
# Electronic total energy   -6.9098 eV/atom
data_Ba2Mn2O5
_chemical_formula_sum 'Ba8 Mn8 O20'
_symmetry_space_group_name_H-M 'I m a 2'
_symmetry_Int_Tables_number 46
_symmetry_space_group_name_Hall 'I 2 -2a'
_cell_length_a 16.672
_cell_length_b 5.828
_cell_length_c 5.819
_cell_angle_alpha 90.00
_cell_angle_beta 90.00
_cell_angle_gamma 90.00
loop_
_atom_site_label
_atom_site_fract_x
_atom_site_fract_y
_atom_site_fract_z
Ba1 0.113 0.001 0.000
Mn1 0.000 0.000 0.500
Mn2 0.250 0.555 0.983
O1 0.004 0.748 0.748
O2 0.142 0.033 0.509
O3 0.250 0.676 0.683

***

(2)
# Ba2MnO3 (PBE with a Hubbard U, optimized geometry)
# V   473.0 Å³ per cell
# Electronic total energy   -6.5247 eV/atom
data_Ba2MnO3
_chemical_formula_sum 'Ba8 Mn4 O12'
_symmetry_space_group_name_H-M 'C 1 2/c 1'
_symmetry_Int_Tables_number 15
_symmetry_space_group_name_Hall '-C 2yc'
_cell_length_a 10.973
_cell_length_b 6.756
_cell_length_c 6.816
_cell_angle_alpha 90.00
_cell_angle_beta 110.59
_cell_angle_gamma 90.00
loop_
_atom_site_label
_atom_site_fract_x
_atom_site_fract_y
_atom_site_fract_z
Ba1 0.164 0.158 0.195
Mn1 0.000 0.402 0.750
O1 0.000 0.102 0.750
O2 0.162 0.481 0.455

***

(3)
# BaMn4O8 (PBE with a Hubbard U, optimized geometry)
# Energy above the lowest structure with this stoichiometry   0.000 eV/atom
# V   302.6 Å³ per cell
# Electronic total energy   -7.1769 eV/atom
data_BaMn4O8
_chemical_formula_sum 'Ba2 Mn8 O16'
_symmetry_space_group_name_H-M 'C 1 2/m 1'
_symmetry_Int_Tables_number 12
_symmetry_space_group_name_Hall '-C 2y'
_cell_length_a 13.811
_cell_length_b 3.164
_cell_length_c 9.760
_cell_angle_alpha 90.00
_cell_angle_beta 134.81
_cell_angle_gamma 90.00
loop_
_atom_site_label
_atom_site_fract_x
_atom_site_fract_y
_atom_site_fract_z
Ba1 0.000 0.000 0.000
Mn1 0.151 0.000 0.487
Mn2 0.164 0.500 0.816
O1 0.042 0.000 0.713
O2 0.151 0.500 0.345
O3 0.167 0.500 0.625
O4 0.195 0.500 0.045

***

(4)
# Ba2MnO5 (PBE with a Hubbard U, optimized geometry)
# V   276.8 Å³ per cell
# Electronic total energy   -6.3087 eV/atom
data_Ba2MnO5
_chemical_formula_sum 'Ba4 Mn2 O10'
_symmetry_space_group_name_H-M 'I 4 m m'
_symmetry_Int_Tables_number 107
_symmetry_space_group_name_Hall 'I 4 -2'
_cell_length_a 6.060
_cell_length_b 6.060
_cell_length_c 7.537
_cell_angle_alpha 90.00
_cell_angle_beta 90.00
_cell_angle_gamma 90.00
loop_
_atom_site_label
_atom_site_fract_x
_atom_site_fract_y
_atom_site_fract_z
Ba1 0.000 0.500 0.000
Mn1 0.000 0.000 0.286
O1 0.000 0.000 0.504
O2 0.204 0.204 0.222

***

(5)
# Ba2MnO4 (PBE with a Hubbard U, optimized geometry)
# Energy above the lowest structure with this stoichiometry   0.000 eV/atom
# V   219.1 Å³ per cell
# Electronic total energy   -6.6235 eV/atom
data_Ba2MnO4
_chemical_formula_sum 'Ba4 Mn2 O8'
_symmetry_space_group_name_H-M 'I 4/m m m'
_symmetry_Int_Tables_number 139
_symmetry_space_group_name_Hall '-I 4 2'
_cell_length_a 4.061
_cell_length_b 4.061
_cell_length_c 13.287
_cell_angle_alpha 90.00
_cell_angle_beta 90.00
_cell_angle_gamma 90.00
loop_
_atom_site_label
_atom_site_fract_x
_atom_site_fract_y
_atom_site_fract_z
Ba1 0.000 0.000 0.142
Mn1 0.000 0.000 0.500
O1 0.000 0.000 0.352
O2 0.000 0.500 0.000

***

(6)
# Ba2MnO3 (PBE with a Hubbard U, optimized geometry)
# V   442.1 Å³ per cell
# Electronic total energy   -6.5607 eV/atom
data_Ba2MnO3
_chemical_formula_sum 'Ba8 Mn4 O12'
_symmetry_space_group_name_H-M 'P n m a'
_symmetry_Int_Tables_number 62
_symmetry_space_group_name_Hall '-P 2ac 2n'
_cell_length_a 7.790
_cell_length_b 3.804
_cell_length_c 14.921
_cell_angle_alpha 90.00
_cell_angle_beta 90.00
_cell_angle_gamma 90.00
loop_
_atom_site_label
_atom_site_fract_x
_atom_site_fract_y
_atom_site_fract_z
Ba1 0.089 0.250 0.217
Ba2 0.220 0.250 0.952
Mn1 0.115 0.250 0.625
O1 0.002 0.250 0.398
O2 0.140 0.750 0.069
O3 0.167 0.250 0.764

***

(7)
# BaMn2O8 (PBE with a Hubbard U, optimized geometry)
# Energy above the lowest structure with this stoichiometry   0.133 eV/atom
# V   1606.8 Å³ per cell
# Electronic total energy   -6.1511 eV/atom
data_BaMn2O8
_chemical_formula_sum 'Ba8 Mn16 O64'
_symmetry_space_group_name_H-M 'F d d d'
_symmetry_Int_Tables_number 70
_cell_length_a 8.493
_cell_length_b 11.693
_cell_length_c 16.179
_cell_angle_alpha 90.00
_cell_angle_beta 90.00
_cell_angle_gamma 90.00
loop_
_symmetry_equiv_pos_as_xyz
'x,y,z'
'-x,-y,-z'
'-x+1/4,-y+1/4,z'
'x+1/4,y+1/4,-z'
'x,-y+1/4,-z+1/4'
'-x,y+1/4,z+1/4'
'-x+1/4,y,-z+1/4'
'x+1/4,-y,z+1/4'
'x,y+1/2,z+1/2'
'-x,-y+1/2,-z+1/2'
'-x+1/4,-y+3/4,z+1/2'
'x+1/4,y+3/4,-z+1/2'
'x,-y+3/4,-z+3/4'
'-x,y+3/4,z+3/4'
'-x+1/4,y+1/2,-z+3/4'
'x+1/4,-y+1/2,z+3/4'
'x+1/2,y,z+1/2'
'-x+1/2,-y,-z+1/2'
'-x+3/4,-y+1/4,z+1/2'
'x+3/4,y+1/4,-z+1/2'
'x+1/2,-y+1/4,-z+3/4'
'-x+1/2,y+1/4,z+3/4'
'-x+3/4,y,-z+3/4'
'x+3/4,-y,z+3/4'
'x+1/2,y+1/2,z'
'-x+1/2,-y+1/2,-z'
'-x+3/4,-y+3/4,z'
'x+3/4,y+3/4,-z'
'x+1/2,-y+3/4,-z+1/4'
'-x+1/2,y+3/4,z+1/4'
'-x+3/4,y+1/2,-z+1/4'
'x+3/4,-y+1/2,z+1/4'
loop_
_atom_site_label
_atom_site_fract_x
_atom_site_fract_y
_atom_site_fract_z
Ba1 0.125 0.125 0.125
Mn1 0.125 0.125 0.349
O1 0.028 0.358 0.210
O2 0.108 0.012 0.406

***

(8)
# Ba2MnO3 (PBE with a Hubbard U, optimized geometry)
# V   909.3 Å³ per cell
# Electronic total energy   -6.5806 eV/atom
data_Ba2MnO3
_chemical_formula_sum 'Ba16 Mn8 O24'
_symmetry_space_group_name_H-M 'C 1 2/c 1'
_symmetry_Int_Tables_number 15
_symmetry_space_group_name_Hall '-C 2yc'
_cell_length_a 6.068
_cell_length_b 11.708
_cell_length_c 12.822
_cell_angle_alpha 90.00
_cell_angle_beta 93.39
_cell_angle_gamma 90.00
loop_
_atom_site_label
_atom_site_fract_x
_atom_site_fract_y
_atom_site_fract_z
Ba1 0.234 0.106 0.424
Ba2 0.235 0.207 0.850
Mn1 0.226 0.497 0.336
O1 0.000 0.010 0.750
O2 0.000 0.399 0.750
O3 0.170 0.326 0.370
O4 0.215 0.100 0.033

***

(9)
# BaMn4O8 (PBE with a Hubbard U, optimized geometry)
# Energy above the lowest structure with this stoichiometry   0.282 eV/atom
# V   223.2 Å³ per cell
# Electronic total energy   -6.8949 eV/atom
data_BaMn4O8
_chemical_formula_sum 'Ba1 Mn4 O8'
_symmetry_space_group_name_H-M 'P -3 1 m'
_symmetry_Int_Tables_number 162
_symmetry_space_group_name_Hall '-P 3 2'
_cell_length_a 5.6280
_cell_length_b 5.6280
_cell_length_c 8.1362
_cell_angle_alpha 90.00
_cell_angle_beta 90.00
_cell_angle_gamma 120.00
loop_
_atom_site_label
_atom_site_fract_x
_atom_site_fract_y
_atom_site_fract_z
Ba1 0.0000 0.0000 0.0000
Mn1 0.3333 0.6667 0.2301
O1 0.0000 0.3559 0.2712
O2 0.3333 0.6667 0.0000

***

(10)
# BaMn2O4 (PBE with a Hubbard U, optimized geometry)
# Energy above the lowest structure with this stoichiometry   0.000 eV/atom
# V   842.4 Å³ per cell
# Electronic total energy   -7.1116 eV/atom
data_BaMn2O4
_chemical_formula_sum 'Ba8 Mn16 O32'
_symmetry_space_group_name_H-M 'F d d 2'
_symmetry_Int_Tables_number 43
_symmetry_space_group_name_Hall 'F 2 -2d'
_cell_length_a 9.526
_cell_length_b 12.313
_cell_length_c 7.182
_cell_angle_alpha 90.00
_cell_angle_beta 90.00
_cell_angle_gamma 90.00
loop_
_atom_site_label
_atom_site_fract_x
_atom_site_fract_y
_atom_site_fract_z
Ba1 0.000 0.000 0.000
Mn1 0.096 0.104 0.585
O1 0.045 0.122 0.320
O2 0.108 0.415 0.099

***

(11)
# Ba2Mn3O7 (PBE with a Hubbard U, optimized geometry)
# V   205.9 Å³ per cell
# Electronic total energy   -6.8067 eV/atom
data_Ba2Mn3O7
_chemical_formula_sum 'Ba2 Mn3 O7'
_symmetry_space_group_name_H-M 'P m m 2'
_symmetry_Int_Tables_number 25
_symmetry_space_group_name_Hall 'P 2 -2'
_cell_length_a 3.767
_cell_length_b 14.366
_cell_length_c 3.805
_cell_angle_alpha 90.00
_cell_angle_beta 90.00
_cell_angle_gamma 90.00
loop_
_atom_site_label
_atom_site_fract_x
_atom_site_fract_y
_atom_site_fract_z
Ba1 0.000 0.181 0.000
Mn1 0.500 0.000 0.603
Mn2 0.500 0.346 0.502
O1 0.000 0.000 0.759
O2 0.000 0.327 0.504
O3 0.500 0.127 0.490
O4 0.500 0.327 0.002

***

(12)
# Ba2Mn3OsO12 (PBE with a Hubbard U, optimized geometry)
# V   736.4 Å³ per cell
# Electronic total energy   -6.9066 eV/atom
data_Ba2Mn3OsO12
_chemical_formula_sum 'Ba6 Mn9 Os3 O36'
_symmetry_space_group_name_H-M 'R -3 m'
_symmetry_Int_Tables_number 166
_symmetry_space_group_name_Hall '-R 3 2"'
_cell_length_a 6.9470
_cell_length_b 6.9470
_cell_length_c 17.6201
_cell_angle_alpha 90.00
_cell_angle_beta 90.00
_cell_angle_gamma 120.00
loop_
_atom_site_label
_atom_site_fract_x
_atom_site_fract_y
_atom_site_fract_z
Ba1 0.0000 0.0000 0.1067
Mn1 0.0000 0.5000 0.0000
Os1 0.0000 0.0000 0.5000
O1 0.0599 0.5299 0.3576
O2 0.0747 0.5373 0.1073

***

(13)
# Ba2MnOs3O12 (PBE with a Hubbard U, optimized geometry)
# V   786.9 Å³ per cell
# Electronic total energy   -7.2885 eV/atom
data_Ba2MnOs3O12
_chemical_formula_sum 'Ba6 Mn3 Os9 O36'
_symmetry_space_group_name_H-M 'R -3 m'
_symmetry_Int_Tables_number 166
_symmetry_space_group_name_Hall '-R 3 2"'
_cell_length_a 7.2910
_cell_length_b 7.2910
_cell_length_c 17.0922
_cell_angle_alpha 90.00
_cell_angle_beta 90.00
_cell_angle_gamma 120.00
loop_
_atom_site_label
_atom_site_fract_x
_atom_site_fract_y
_atom_site_fract_z
Ba1 0.0000 0.0000 0.1298
Mn1 0.0000 0.0000 0.5000
Os1 0.0000 0.5000 0.0000
O1 0.0285 0.5143 0.1109
O2 0.0736 0.5368 0.3424

***

(14)
# BaMn2OsO8 (PBE with a Hubbard U, optimized geometry)
# V   365.8 Å³ per cell
# Electronic total energy   -6.9585 eV/atom
data_BaMn2OsO8
_chemical_formula_sum 'Ba2 Mn4 Os2 O16'
_symmetry_space_group_name_H-M 'C 1 2/m 1'
_symmetry_Int_Tables_number 12
_symmetry_space_group_name_Hall '-C 2y'
_cell_length_a 7.642
_cell_length_b 6.127
_cell_length_c 7.813
_cell_angle_alpha 90.00
_cell_angle_beta 90.27
_cell_angle_gamma 90.00
loop_
_atom_site_label
_atom_site_fract_x
_atom_site_fract_y
_atom_site_fract_z
Ba1 0.000 0.000 0.000
Mn1 0.100 0.500 0.702
Os1 0.000 0.000 0.500
O1 0.006 0.214 0.678
O2 0.158 0.500 0.918
O3 0.243 0.000 0.491

***

(15)
# BaMnPO2 (PBE with a Hubbard U, optimized geometry)
# Energy above the lowest structure with this stoichiometry   0.000 eV/atom
# V   84.4 Å³ per cell
# Electronic total energy   -5.8684 eV/atom
data_BaMnPO2
_chemical_formula_sum 'Ba1 Mn1 P1 O2'
_symmetry_space_group_name_H-M 'P 4/m m m'
_symmetry_Int_Tables_number 123
_symmetry_space_group_name_Hall '-P 4 2'
_cell_length_a 4.247
_cell_length_b 4.247
_cell_length_c 4.682
_cell_angle_alpha 90.00
_cell_angle_beta 90.00
_cell_angle_gamma 90.00
loop_
_atom_site_label
_atom_site_fract_x
_atom_site_fract_y
_atom_site_fract_z
Ba1 0.000 0.000 0.000
Mn1 0.500 0.500 0.500
P1 0.500 0.500 0.000
O1 0.000 0.500 0.500

***

(16)
# Ba2MnP2O8 (PBE with a Hubbard U, optimized geometry)
# V   811.3 Å³ per cell
# Electronic total energy   -7.3901 eV/atom
data_Ba2MnP2O8
_chemical_formula_sum 'Ba8 Mn4 P8 O32'
_symmetry_space_group_name_H-M 'P 1 21/c 1'
_symmetry_Int_Tables_number 14
_symmetry_space_group_name_Hall '-P 2ybc'
_cell_length_a 5.413
_cell_length_b 9.119
_cell_length_c 17.276
_cell_angle_alpha 90.00
_cell_angle_beta 107.93
_cell_angle_gamma 90.00
loop_
_atom_site_label
_atom_site_fract_x
_atom_site_fract_y
_atom_site_fract_z
Ba1 0.032 0.158 0.271
Ba2 0.182 0.702 0.980
Mn1 0.404 0.018 0.136
P1 0.183 0.094 0.922
P2 0.422 0.104 0.663
O1 0.100 0.648 0.623
O2 0.219 0.561 0.389
O3 0.225 0.097 0.014
O4 0.254 0.032 0.582
O5 0.287 0.612 0.834
O6 0.311 0.239 0.169
O7 0.380 0.197 0.899
O8 0.398 0.011 0.736

***

(17)
# BaMnPO2 (PBE with a Hubbard U, optimized geometry)
# Energy above the lowest structure with this stoichiometry   1.065 eV/atom
# V   128.8 Å³ per cell
# Electronic total energy   -4.8030 eV/atom
data_BaMnPO2
_chemical_formula_sum 'Ba1 Mn1 P1 O2'
_symmetry_space_group_name_H-M 'P 4/m m m'
_symmetry_Int_Tables_number 123
_symmetry_space_group_name_Hall '-P 4 2'
_cell_length_a 4.401
_cell_length_b 4.401
_cell_length_c 6.647
_cell_angle_alpha 90.00
_cell_angle_beta 90.00
_cell_angle_gamma 90.00
loop_
_atom_site_label
_atom_site_fract_x
_atom_site_fract_y
_atom_site_fract_z
Ba1 0.000 0.000 0.000
Mn1 0.500 0.500 0.500
P1 0.000 0.000 0.500
O1 0.000 0.500 0.000